Here is a relaxed Na3TiV2O8 crystal from Alexandria via LeMat-Bulk. Energies are from PBE with a Hubbard U.

## Properties
**Raw total energy**: -6.8644 eV per atom
**Magnetic moment**: 1.01 Bohr magnetons per cell
**Density of states at the Fermi level**: 2.88 states/eV per cell
**Volume**: 186.04 Å³/cell
**Space group**: P-3m1

Cell lengths 5.600, 5.600, 6.851 Å; angles 90.00, 90.00, 120.00 degrees
Fractional coordinates of all 14 atoms:
Na 0.333 0.667 0.655
Na 0.667 0.333 0.345
Na 0.000 0.000 0.000
Ti 0.000 0.000 0.500
V 0.333 0.667 0.223
V 0.667 0.333 0.777
O 0.333 0.667 0.977
O 0.667 0.333 0.023
O 0.165 0.835 0.328
O 0.835 0.165 0.672
O 0.165 0.330 0.328
O 0.835 0.670 0.672
O 0.670 0.835 0.328
O 0.330 0.165 0.672


Here is a relaxed NaTiVO5 crystal from Alexandria via LeMat-Bulk. Energies are from PBE with a Hubbard U.

## Properties
**Raw total energy**: -7.5308 eV per atom
**Magnetic moment**: 0.00 Bohr magnetons per cell
**Density of states at the Fermi level**: 0.00 states/eV per cell
**Volume**: 209.06 Å³/cell
**Space group**: C2/c

Cell lengths 5.697, 5.697, 7.263 Å; angles 104.57, 104.57, 103.79 degrees
Fractional coordinates of all 16 atoms:
Na 0.317 0.683 0.250
Na 0.683 0.317 0.750
Ti 0.000 0.000 0.500
Ti 0.000 0.000 0.000
V 0.674 0.326 0.250
V 0.326 0.674 0.750
O 0.056 0.944 0.250
O 0.944 0.056 0.750
O 0.873 0.296 0.103
O 0.127 0.704 0.897
O 0.704 0.127 0.397
O 0.296 0.873 0.603
O 0.755 0.641 0.403
O 0.245 0.359 0.597
O 0.359 0.245 0.097
O 0.641 0.755 0.903


Here is a relaxed Na2TiV2O6 crystal from Alexandria via LeMat-Bulk. Energies are from PBE with a Hubbard U.

## Properties
**Raw total energy**: -7.2835 eV per atom
**Magnetic moment**: 4.00 Bohr magnetons per cell
**Volume**: 131.94 Å³/cell
**Space group**: C2/m

Cell lengths 5.212, 5.212, 5.828 Å; angles 98.96, 98.96, 118.89 degrees
Fractional coordinates of all 11 atoms:
Na 0.830 0.170 0.000
Na 0.170 0.830 0.000
Ti 0.000 0.000 0.500
V 0.336 0.664 0.500
V 0.664 0.336 0.500
O 0.743 0.743 0.690
O 0.053 0.385 0.691
O 0.257 0.257 0.310
O 0.385 0.053 0.691
O 0.947 0.615 0.309
O 0.615 0.947 0.309


Here is a relaxed Na3TiV2O6 crystal from Alexandria via LeMat-Bulk. Energies are from PBE with a Hubbard U.

## Properties
**Raw total energy**: -6.8617 eV per atom
**Magnetic moment**: 5.00 Bohr magnetons per cell
**Volume**: 132.87 Å³/cell
**Space group**: C2/m

Cell lengths 5.276, 5.276, 5.717 Å; angles 99.27, 99.27, 118.41 degrees
Fractional coordinates of all 12 atoms:
Na 0.171 0.829 0.500
Na 0.829 0.171 0.500
Na 0.500 0.500 0.500
Ti 0.000 0.000 0.000
V 0.340 0.660 0.000
V 0.660 0.340 0.000
O 0.938 0.617 0.800
O 0.753 0.753 0.207
O 0.062 0.383 0.200
O 0.617 0.938 0.800
O 0.247 0.247 0.793
O 0.383 0.062 0.200